[1]
The following is a DFT calculation (PBE) of a relaxed TiSbI2 crystal.

## Properties
As for the space group: I-42d (122). For the excess energy over the best structure of this formula in the dataset, the calculation gives 0.0 meV/atom. The calculation puts the uncorrected formation energy at -122 meV per atom.

Geometry as POSCAR:
```
TiSbI2
1.0
-5.1271 5.1271 2.6990
5.1271 -5.1271 2.6990
5.1271 5.1271 -2.6990
Ti Sb I
2 2 4
Cartesian
0.0000 0.0000 0.0000
0.0000 5.1271 1.3495
5.1271 0.0000 1.3495
0.0000 0.0000 2.6990
1.0002 2.5636 0.6748
-2.5636 4.1269 2.0243
-1.0002 7.6907 0.6748
2.5636 6.1274 2.0243
```


[2]
The following is a DFT calculation (PBE) of a relaxed Pr2HoHg crystal.

## Properties
The value obtained for the energy of formation from the pure elements is 0.08 eV per atom. As for the space group: R-3m (166). For the excess energy over the best structure of this formula in the dataset, the calculation gives 312.5 meV/atom.

Geometry as POSCAR:
```
Pr2HoHg
1.0
1.7668 1.0201 12.0218
-1.7668 1.0201 12.0218
0.0000 -2.0402 12.0218
Pr Ho Hg
2 1 1
Cartesian
0.0000 0.0000 3.4071
0.0000 0.0000 32.6583
0.0000 0.0000 0.0000
0.0000 0.0000 18.0327
```


[3]
The following is a DFT calculation (PBE) of a relaxed Ac8AgRh3Br4 crystal.

## Properties
As for the space group: R-3m (166). The calculation puts the uncorrected formation energy at -1045 meV per atom.

Geometry as POSCAR:
```
Ac8AgRh3Br4
1.0
4.4096 2.5459 8.2820
-4.4096 2.5459 8.2820
0.0000 -5.0918 8.2820
Ac Ag Rh Br
8 1 3 4
Cartesian
-2.3058 -1.3313 14.0563
0.0000 0.0000 5.7617
0.0000 -2.6626 10.7898
-2.3058 1.3313 10.7898
2.3058 -1.3313 14.0563
0.0000 2.6626 14.0563
0.0000 0.0000 19.0844
2.3058 1.3313 10.7899
0.0000 0.0000 12.4231
-4.4096 0.0000 12.4231
-2.2048 1.2729 4.1410
2.2048 1.2729 4.1410
0.0000 0.0000 0.0000
-2.2048 -1.2729 8.2820
-2.2048 1.2729 16.5641
0.0000 2.5459 8.2820
```


[4]
The following is a DFT calculation (PBE) of a relaxed PrCuRu crystal.

## Properties
The value obtained for the energy of formation from the pure elements is 0.09 eV per atom. As for the space group: C2/m (12). For the excess energy over the best structure of this formula in the dataset, the calculation gives 246.2 meV/atom.

Geometry as POSCAR:
```
PrCuRu
1.0
5.0363 -2.7551 0.0000
5.0363 2.7551 0.0000
-2.2154 0.0000 4.2044
Pr Cu Ru
2 2 2
Cartesian
0.4524 0.0000 1.5869
7.4047 0.0000 2.6176
4.4670 0.0000 1.0438
3.3901 0.0000 3.1606
2.5181 1.3776 0.0000
2.5181 -1.3776 0.0000
```


[5]
The following is a DFT calculation (PBE) of a relaxed Na3VRh3S8 crystal.

## Properties
As for the space group: C2/m (12). The calculation puts the uncorrected formation energy at -725 meV per atom.

Geometry as POSCAR:
```
Na3VRh3S8
1.0
6.1861 -3.5676 0.0000
6.1861 3.5676 0.0000
-4.1294 0.0000 6.4922
Na V Rh S
3 1 3 8
Cartesian
0.0000 0.0000 0.0000
3.0931 1.7838 0.0000
3.0931 -1.7838 0.0000
-2.0647 0.0000 3.2461
1.0284 1.7838 3.2461
1.0284 -1.7838 3.2461
4.1214 0.0000 3.2461
-0.0050 0.0000 4.5002
3.0902 1.7860 4.4995
5.1527 1.7860 1.9927
2.0605 0.0000 2.0346
6.1824 0.0000 4.4576
3.0902 -1.7860 4.4995
5.1527 -1.7860 1.9927
8.2479 0.0000 1.9920
```


[6]
The following is a DFT calculation (PBE) of a relaxed ZrAl2Te crystal.

## Properties
As for the space group: Cmmm (65). The calculation puts the uncorrected formation energy at -110 meV per atom.

Geometry as POSCAR:
```
ZrAl2Te
1.0
2.8379 -4.2443 0.0000
2.8379 4.2443 0.0000
0.0000 0.0000 3.4673
Zr Al Te
1 2 1
Cartesian
0.0000 0.0000 0.0000
1.4190 2.1222 1.7337
1.4190 -2.1222 1.7337
2.8379 0.0000 0.0000
```


[7]
The following is a DFT calculation (PBE) of a relaxed HfPa2Co2 crystal.

## Properties
The value obtained for the energy of formation from the pure elements is -0.27 eV per atom. As for the space group: C2/m (12).

Geometry as POSCAR:
```
HfPa2Co2
1.0
5.8359 -1.7283 0.0000
5.8359 1.7283 0.0000
-4.1819 0.0000 9.4265
Hf Pa Co
2 4 4
Cartesian
0.8293 0.0000 3.4096
6.6605 0.0000 6.0168
-0.0612 0.0000 8.6255
3.9847 0.0000 2.7294
3.5052 0.0000 6.6970
7.5510 0.0000 0.8009
-3.4344 0.0000 8.3417
-0.9853 0.0000 5.2974
8.4752 0.0000 4.1291
10.9243 0.0000 1.0848
```


[8]
The following is a DFT calculation (PBE) of a relaxed CeThAgPt crystal.

## Properties
The value obtained for the energy of formation from the pure elements is -0.51 eV per atom. As for the space group: F-43m (216).

Geometry as POSCAR:
```
CeThAgPt
1.0
0.0000 3.6518 3.6518
3.6518 0.0000 3.6518
3.6518 3.6518 0.0000
Ce Th Ag Pt
1 1 1 1
Cartesian
0.0000 0.0000 0.0000
3.6518 3.6518 3.6518
1.8259 1.8259 1.8259
5.4777 5.4777 5.4777
```


[9]
The following is a DFT calculation (PBE) of a relaxed LaY2HgIr crystal.

## Properties
The value obtained for the energy of formation from the pure elements is -0.37 eV per atom. As for the space group: P4/mmm (123).

Geometry as POSCAR:
```
LaY2HgIr
1.0
5.4366 0.0000 0.0000
0.0000 5.4366 0.0000
0.0000 0.0000 5.4994
La Y Hg Ir
1 2 1 1
Cartesian
0.0000 0.0000 0.0000
0.0000 2.7183 2.7497
2.7183 0.0000 2.7497
2.7183 2.7183 0.0000
0.0000 0.0000 2.7497
```


[10]
The following is a DFT calculation (PBE) of a relaxed LaHoGa2 crystal.

## Properties
The value obtained for the energy of formation from the pure elements is -0.37 eV per atom. As for the space group: R-3m (166).

Geometry as POSCAR:
```
LaHoGa2
1.0
1.8703 1.0798 8.9346
-1.8703 1.0798 8.9346
0.0000 -2.1597 8.9346
La Ho Ga
1 1 2
Cartesian
0.0000 0.0000 0.0000
0.0000 0.0000 13.4019
0.0000 0.0000 6.5843
0.0000 0.0000 20.2196
```


[11]
The following is a DFT calculation (PBE) of a relaxed BeTl2Ag crystal.

## Properties
The value obtained for the energy of formation from the pure elements is 0.35 eV per atom. As for the space group: R3m (160).

Geometry as POSCAR:
```
BeTl2Ag
1.0
1.7192 0.9926 8.6724
-1.7192 0.9926 8.6724
0.0000 -1.9851 8.6724
Be Tl Ag
1 2 1
Cartesian
0.0000 0.0000 0.0000
0.0000 0.0000 6.7037
0.0000 0.0000 12.4608
0.0000 0.0000 18.6956
```


[12]
The following is a DFT calculation (PBE) of a relaxed Hg2PbSe crystal.

## Properties
As for the space group: Pm (6). The calculation puts the uncorrected formation energy at -153 meV per atom.

Geometry as POSCAR:
```
Hg2PbSe
1.0
3.9428 0.0000 0.0000
0.0000 3.9582 0.0000
-1.9507 0.0000 7.9154
Hg Pb Se
2 1 1
Cartesian
0.0000 0.0000 0.0000
0.0189 1.9791 6.2426
0.0809 1.9791 2.7658
2.0479 0.0000 3.8848
```


[13]
The following is a DFT calculation (PBE) of a relaxed NdPuAs2 crystal.

## Properties
The value obtained for the energy of formation from the pure elements is -1.12 eV per atom. As for the space group: R3m (160). For the excess energy over the best structure of this formula in the dataset, the calculation gives 140.1 meV/atom.

Geometry as POSCAR:
```
NdPuAs2
1.0
2.0841 1.2032 7.1065
-2.0841 1.2032 7.1065
0.0000 -2.4065 7.1065
Nd Pu As
1 1 2
Cartesian
0.0000 0.0000 0.0000
0.0000 0.0000 3.6615
0.0000 0.0000 12.3924
0.0000 0.0000 16.1575
```


[14]
The following is a DFT calculation (PBE) of a relaxed AcLa2Ho4 crystal.

## Properties
The value obtained for the energy of formation from the pure elements is 0.21 eV per atom. As for the space group: I4/mmm (139). For the excess energy over the best structure of this formula in the dataset, the calculation gives 0.0 meV/atom.

Geometry as POSCAR:
```
AcLa2Ho4
1.0
-4.3393 4.3393 3.3436
4.3393 -4.3393 3.3436
4.3393 4.3393 -3.3436
Ac La Ho
1 2 4
Cartesian
0.0000 0.0000 0.0000
4.3393 0.0000 1.6718
0.0000 4.3393 1.6718
2.6486 2.6486 0.0000
1.6907 -1.6907 3.3436
-1.6907 1.6907 3.3436
1.6907 1.6907 3.3436
```


[15]
The following is a DFT calculation (PBE) of a relaxed NaGe crystal.

## Properties
The value obtained for the energy of formation from the pure elements is -0.08 eV per atom. As for the space group: Pnma (62).

Geometry as POSCAR:
```
NaGe
1.0
6.1663 0.0000 0.0000
0.0000 6.8150 0.0000
0.0000 0.0000 9.2320
Na Ge
8 8
Cartesian
0.1140 1.7037 2.0114
0.9203 1.7037 7.9705
2.1629 5.1112 3.3545
2.9692 5.1112 6.6274
3.1972 1.7037 2.6046
4.0034 1.7037 5.8776
5.2461 5.1112 1.2616
6.0523 5.1112 7.2206
1.0641 0.4851 5.1113
1.0641 2.9224 5.1113
2.0191 3.8926 0.4953
2.0191 6.3299 0.4953
4.1472 0.4851 8.7367
4.1472 2.9224 8.7367
5.1023 3.8926 4.1207
5.1023 6.3299 4.1207
```


Calculated total moment, 0.226; 0.000; 0.000; 0.000; 0.066; 0.000; 0.000; 0.242; 0.000; 0.000; 0.000; 0.000; 1.248; 0.000; 0.000 μB per atom (same order as the records).